No. 1
The following is a PBE calculation of a relaxed LaHfNb2I crystal, from Alexandria via LeMat-Bulk.

As for the uncorrected formation energy: 1.29 eV per atom. As for the total moment: 0.00 Bohr magnetons per cell. The density of states at the Fermi level comes out at 7.0 states/eV/f.u.

a b c (Å): 5.063 5.063 5.669
angles (deg): 90.00 90.00 90.00
Space group P4/mmm (No. 123)
Inequivalent atoms, fractional coordinates:
La: 0.000 0.000 0.000 (multiplicity 1)
Hf: 0.500 0.500 0.000 (multiplicity 1)
Nb: 0.000 0.500 0.500 (multiplicity 2)
I: 0.000 0.000 0.500 (multiplicity 1)



No. 2
The following is a PBE calculation of a relaxed RbU2Cl8 crystal, from Alexandria via LeMat-Bulk.

As for the uncorrected formation energy: -1.78 eV per atom. As for the total moment: 10.00 Bohr magnetons per cell. The density of states at the Fermi level comes out at 17.1 states/eV/f.u.

a b c (Å): 8.608 12.912 5.490
angles (deg): 90.00 98.92 90.00
Space group C2/m (No. 12)
Inequivalent atoms, fractional coordinates:
Rb: 0.000 0.000 0.000 (multiplicity 2)
U: 0.000 0.322 0.500 (multiplicity 4)
Cl: 0.000 0.267 0.000 (multiplicity 4)
Cl: 0.099 0.500 0.770 (multiplicity 4)
Cl: 0.190 0.140 0.576 (multiplicity 8)